# 1
Er2NpRu2 | PBE | relaxed

Its calculated formation energy is -0.333 eV/atom. The calculation puts the total energy at -169.142 eV per cell.

It has space group C2/c (No. 15), with a = 9.9699 Å, b = 5.7664 Å, c = 7.7523 Å, α = 90.00°, β = 101.36° and γ = 90.00°. The asymmetric unit holds Er at (0.1517, 0.1329, 0.1515), Np at (0.0000, 0.3587, 0.7500) and Ru at (0.1285, 0.3643, 0.5099).

# 2
Er3NpRu3 | PBE | relaxed

Its calculated formation energy is -0.236 eV/atom. The calculation puts the total energy at -224.435 eV per cell.

It has space group C2/m (No. 12), with a = 11.9148 Å, b = 3.9385 Å, c = 14.3904 Å, α = 90.00°, β = 113.71° and γ = 90.00°. The asymmetric unit holds Er at (0.0342, 0.0000, 0.2984), Er at (0.1289, 0.5000, 0.1373), Er at (0.1795, 0.0000, 0.5705), Np at (0.1667, 0.5000, 0.8946), Ru at (0.0411, 0.5000, 0.4317), Ru at (0.0827, 0.0000, 0.9577) and Ru at (0.1807, 0.5000, 0.7404).

# 3
Er3Np2Ru4 | PBE | relaxed

Its calculated formation energy is -0.296 eV/atom. The calculation puts the total energy at -158.666 eV per cell.

It has space group C2/m (No. 12), with a = 10.6086 Å, b = 4.2150 Å, c = 8.7997 Å, α = 90.00°, β = 99.55° and γ = 90.00°. The asymmetric unit holds Er at (0.0000, 0.0000, 0.0000), Er at (0.1248, 0.5000, 0.3893), Np at (0.1726, 0.5000, 0.7812), Ru at (0.0898, 0.0000, 0.6333) and Ru at (0.2167, 0.5000, 0.0943).

# 4
Er2NpRu3 | PBE | relaxed

Its calculated formation energy is -0.328 eV/atom. The calculation puts the total energy at -103.726 eV per cell.

It has space group Cmmm (No. 65), with a = 4.8892 Å, b = 14.0917 Å, c = 3.3507 Å, α = 90.00°, β = 90.00° and γ = 90.00°. The asymmetric unit holds Er at (0.0000, 0.1695, 0.0000), Np at (0.0000, 0.5000, 0.0000), Ru at (0.0000, 0.0000, 0.5000) and Ru at (0.0000, 0.3507, 0.5000).

# 5
ErNpS4 | PBE | relaxed

The calculation puts the total energy at -84.597 eV per cell. Its formation energy (no corrections) is -1380.9 meV per atom.

It has space group Cmmm (No. 65), with a = 8.7080 Å, b = 8.8497 Å, c = 4.0706 Å, α = 90.00°, β = 90.00° and γ = 90.00°. The asymmetric unit holds Er at (0.0000, 0.0000, 0.0000), Np at (0.0000, 0.5000, 0.5000), S at (0.0000, 0.3109, 0.0000) and S at (0.2030, 0.0000, 0.5000).

# 6
Er2Np5S12 | PBE | relaxed

The calculation puts the total energy at -300.647 eV per cell. Its formation energy (no corrections) is -1419.2 meV per atom.

It has space group C2/m (No. 12), with a = 14.0673 Å, b = 7.7846 Å, c = 9.3784 Å, α = 90.00°, β = 110.52° and γ = 90.00°. The asymmetric unit holds Er at (0.0000, 0.2461, 0.0000), Np at (0.0000, 0.0000, 0.5000), Np at (0.1938, 0.5000, 0.3791), Np at (0.2338, 0.5000, 0.9593), S at (0.0229, 0.5000, 0.8140), S at (0.0609, 0.0000, 0.8403), S at (0.1380, 0.2254, 0.5086) and S at (0.1995, 0.2751, 0.1530).